BiIrCl3: optimized geometry, PBE. Values from VASP.

```
&SYSTEM
  ibrav = 0, nat = 5, ntyp = 3
/
ATOMIC_SPECIES
Bi 208.98 Bi.upf
Ir 192.22 Ir.upf
Cl 35.45 Cl.upf
CELL_PARAMETERS angstrom
5.4663 0.0000 0.0000
0.0000 5.4663 0.0000
0.0000 0.0000 5.4663
ATOMIC_POSITIONS angstrom
Bi 0.0000 0.0000 0.0000
Ir 2.7331 2.7331 2.7331
Cl 0.0000 0.0000 2.7331
Cl 0.0000 2.7331 0.0000
Cl 2.7331 0.0000 0.0000
```

## Properties
* DOS(E_F): 12.82 states/eV per cell
* distance to the lowest polymorph of the same formula: 0.506 eV per atom
* raw total energy: -14.805 eV/cell
* space-group type: Pm-3m, No. 221